Record 1
Compound: Pr6TlBi2Te3
Source: the Alexandria database
Functional: PBE
Structure: relaxed

```
12
Lattice="-1.8273 1.1777 4.0095 -5.2750 -7.5479 -0.1871 9.1529 -3.7278 2.6722" Properties=species:S:1:pos:R:3 pbc="T T T"
Te -3.5511 -3.1851 1.9112
Te 3.6702 -2.7473 5.0736
Te -1.6196 -7.3507 1.4209
Pr 1.3492 -1.0627 3.5211
Pr 0.7014 -9.0353 2.9735
Pr -1.2270 -4.8573 3.4616
Pr 3.2776 -5.2407 3.0330
Pr 6.0196 -4.4018 6.6303
Pr -3.9689 -5.6962 -0.1357
Bi 0.9814 -3.5636 1.4940
Bi 1.0692 -6.5344 5.0006
Tl -0.9136 0.5888 2.0047
```

Summary:
**N(E_F)**: 3.80 states/eV per cell
**Total magnetic moment**: 0.00 Bohr magnetons per cell
**Space-group type**: No. 12

=====

Record 2
Compound: ScMn8Tc3
Source: the Alexandria database
Functional: PBE
Structure: relaxed

```
12
Lattice="4.7085 0.0000 0.0000 -2.3542 4.0777 0.0000 0.0000 0.0000 7.7383" Properties=species:S:1:pos:R:3 pbc="T T T"
Mn 0.0000 1.3208 1.9005
Mn 3.4909 2.0155 5.8320
Mn 2.3542 0.0467 5.8320
Mn 1.2104 3.4173 1.9005
Mn 1.2176 2.0155 5.8320
Mn 0.0000 2.7184 3.9225
Mn 0.0000 2.7184 0.0400
Mn -1.2104 3.4173 1.9005
Sc 0.0000 0.0000 4.3342
Tc 0.0000 0.0000 7.2598
Tc 2.3542 1.3592 0.5090
Tc 2.3542 1.3592 3.2978
```

Summary:
**Formation enthalpy at 0 K**: -59.9 meV/atom
**N(E_F)**: 16.23 states/eV per cell
**Total magnetic moment**: 0.01 Bohr magnetons per cell
**Space-group type**: No. 156

=====

Record 3
Compound: BaLi2Tl7
Source: the Alexandria database
Functional: PBE
Structure: relaxed

```
10
Lattice="-2.3563 -1.2855 -4.5950 8.4509 0.0279 -4.3415 -3.5072 -6.1861 3.5292" Properties=species:S:1:pos:R:3 pbc="T T T"
Tl 4.4618 -2.0168 -1.7238
Tl 3.0473 -0.6288 -4.4682
Tl 0.4819 -4.1414 0.9115
Tl 1.7701 -5.2226 -2.5281
Tl 0.8173 -2.2210 -2.8792
Tl -3.0587 -5.2386 -0.0474
Tl 5.6460 -2.2051 -5.3599
Li -0.7858 -4.0148 -1.5553
Li 3.3731 -3.4288 -3.8520
Ba 0.0000 0.0000 0.0000
```

Summary:
**Formation enthalpy at 0 K**: -46.4 meV/atom
**N(E_F)**: 4.39 states/eV per cell
**Total magnetic moment**: 0.00 Bohr magnetons per cell
**Space-group type**: No. 65

=====

Record 4
Compound: Ni2PCl
Source: the Alexandria database
Functional: PBE
Structure: relaxed

```
4
Lattice="6.9566 0.1139 0.0692 6.0000 3.5225 0.0692 6.0000 1.6840 3.0947" Properties=species:S:1:pos:R:3 pbc="T T T"
Ni 4.6985 1.3187 0.8013
Ni 18.6206 5.2261 3.1758
Cl 13.5216 3.7950 2.3062
P 10.5509 2.9612 1.7995
```

Summary:
**N(E_F)**: 1.23 states/eV per cell
**Total magnetic moment**: 0.00 Bohr magnetons per cell
**Space-group type**: No. 160

=====

Record 5
Compound: Pm3Y7Sc
Source: the Alexandria database
Functional: PBE
Structure: relaxed

```
22
Lattice="9.4670 -2.6479 1.2164 -5.7468 7.9757 1.2164 1.4565 2.0859 12.9275" Properties=species:S:1:pos:R:3 pbc="T T T"
Sc 2.5884 3.7068 7.6801
Sc 1.8601 2.6639 1.2164
Pm -1.7748 5.5549 10.2894
Pm 0.7282 1.0429 6.4638
Pm 0.0000 0.0000 0.0000
Pm 6.9515 1.8588 5.0709
Pm 5.8262 0.2472 10.2894
Pm -0.6495 7.1665 5.0709
Y 9.2529 -0.1831 10.9210
Y 4.8831 1.8376 13.2261
Y 0.0428 5.2170 13.2261
Y 5.1339 2.1966 2.1342
Y 5.8644 3.2506 8.5778
Y -0.6876 4.1631 6.7825
Y 2.2296 3.1928 4.4557
Y 8.5359 -1.2100 4.4393
Y -4.0762 7.5968 4.4393
Y -3.3592 8.6237 10.9210
Y 1.0315 6.6251 8.5777
Y 0.2936 5.5761 2.1342
Y 4.1452 0.7886 6.7826
Y 2.9471 4.2209 10.9046
```

Summary:
**Formation enthalpy at 0 K**: 153.7 meV/atom
**N(E_F)**: 34.93 states/eV per cell
**Total magnetic moment**: 0.00 Bohr magnetons per cell
**Space-group type**: No. 12

=====

Record 6
Compound: CoSiRh2
Source: the Alexandria database
Functional: PBE
Structure: relaxed

```
4
Lattice="8.1179 -0.0065 -0.0038 7.6476 2.7230 -0.0038 7.6476 1.3177 2.3829" Properties=species:S:1:pos:R:3 pbc="T T T"
Rh 11.8467 2.0413 1.2019
Rh 23.2730 4.0101 2.3610
Si 5.8533 1.0086 0.5938
Co 17.5599 3.0257 1.7814
```

Summary:
**N(E_F)**: 3.31 states/eV per cell
**Total magnetic moment**: 1.80 Bohr magnetons per cell
**Space-group type**: No. 166

=====

Electronic total energy? In order: -0.18874; -0.34148; -0.08371; -0.17955; -0.21429; -0.25932 Ha/atom.